DFT (PBE-GGA) results for an optimized crystal structure of HoTc.

Cell: 3.152 3.153 8.725 Å, 90.00 90.05 90.00°
Space group P2_1/m (No. 11)
Inequivalent atoms, fractional coordinates:
Ho1 0.249 0.250 0.185 [2 per cell]
Tc1 0.250 0.250 0.579 [2 per cell]

## Properties
For the magnetic moment, the calculation gives 0.000 μB/cell. As for the formation energy: -0.1 kJ per mole of atoms.



DFT (PBE-GGA) results for an optimized crystal structure of Cd2SiBiOs.

Cell: 4.805 4.805 5.700 Å, 90.00 90.00 90.00°
Space group P4/mmm (No. 123)
Inequivalent atoms, fractional coordinates:
Cd1 0.000 0.500 0.000 [2 per cell]
Si1 0.000 0.000 0.000 [1 per cell]
Bi1 0.000 0.000 0.500 [1 per cell]
Os1 0.500 0.500 0.500 [1 per cell]

## Properties
For the magnetic moment, the calculation gives 2.012 μB/cell. As for the formation energy (no corrections): 1.43 eV per atom.



DFT (PBE-GGA) results for an optimized crystal structure of Pm3NdDy7.

Cell: 6.986 5.561 10.043 Å, 90.00 110.14 90.00°
Space group P2/m (No. 10)
Inequivalent atoms, fractional coordinates:
Pm1 0.000 0.000 0.000 [1 per cell]
Pm2 0.218 0.500 0.501 [2 per cell]
Nd1 0.500 0.000 0.000 [1 per cell]
Dy1 0.083 0.000 0.670 [2 per cell]
Dy2 0.180 0.500 0.860 [2 per cell]
Dy3 0.354 0.500 0.211 [2 per cell]
Dy4 0.500 0.000 0.500 [1 per cell]

## Properties
For the magnetic moment, the calculation gives 0.000 μB/cell. As for the energy above the most stable polymorph in this dataset: 0 meV/atom. As for the formation energy: 13.6 kJ per mole of atoms.



DFT (PBE-GGA) results for an optimized crystal structure of Rb2SrSbF.

Cell: 5.325 5.325 5.723 Å, 90.00 90.00 90.00°
Space group P4/mmm (No. 123)
Inequivalent atoms, fractional coordinates:
Rb1 0.000 0.500 0.000 [2 per cell]
Sr1 0.000 0.000 0.500 [1 per cell]
Sb1 0.500 0.500 0.500 [1 per cell]
F1 0.000 0.000 0.000 [1 per cell]

## Properties
For the magnetic moment, the calculation gives 0.000 μB/cell. As for the formation energy (no corrections): -1.42 eV per atom.



Across the entries above, total energy takes the values -7.4726; -3.0399; -4.5167; -3.3382 eV per atom, respectively.